Entry 1:
The following is a DFT calculation (PBEsol) of a relaxed Zr2Sc crystal.

Properties
E_form in kJ/mol of atoms: -1.10
Space group: No. 12

a = 11.614 Å, b = 3.189 Å, c = 7.506 Å
α = 90.00°, β = 103.57°, γ = 90.00°
Atoms (fractional coordinates):
Zr 0.139 0.000 0.028
Zr 0.199 0.000 0.642
Zr 0.301 0.500 0.358
Zr 0.361 0.500 0.972
Zr 0.639 0.500 0.028
Zr 0.699 0.500 0.642
Zr 0.801 0.000 0.358
Zr 0.861 0.000 0.972
Sc 0.028 0.500 0.307
Sc 0.472 0.000 0.693
Sc 0.528 0.000 0.307
Sc 0.972 0.500 0.693

***

Entry 2:
The following is a DFT calculation (PBEsol) of a relaxed CoAg2Bi crystal.

Properties
E_form in kJ/mol of atoms: 46.55
Space group: No. 122

a = 3.810 Å, b = 3.810 Å, c = 20.298 Å
α = 90.00°, β = 90.00°, γ = 90.00°
Atoms (fractional coordinates):
Co 0.000 0.000 0.000
Co 0.000 0.500 0.250
Co 0.500 0.000 0.750
Co 0.500 0.500 0.500
Ag 0.239 0.250 0.125
Ag 0.250 0.739 0.375
Ag 0.250 0.761 0.875
Ag 0.261 0.250 0.625
Ag 0.739 0.750 0.625
Ag 0.750 0.239 0.875
Ag 0.750 0.261 0.375
Ag 0.761 0.750 0.125
Bi 0.000 0.000 0.500
Bi 0.000 0.500 0.750
Bi 0.500 0.000 0.250
Bi 0.500 0.500 0.000

***

Entry 3:
The following is a DFT calculation (PBEsol) of a relaxed In3CF crystal.

Properties
Space group: No. 221

a = 4.764 Å, b = 4.764 Å, c = 4.764 Å
α = 90.00°, β = 90.00°, γ = 90.00°
Atoms (fractional coordinates):
In 0.000 0.000 0.500
In 0.000 0.500 0.000
In 0.500 0.000 0.000
C 0.500 0.500 0.500
F 0.000 0.000 0.000

***

Entry 4:
The following is a DFT calculation (PBEsol) of a relaxed Mg2Ga crystal.

Properties
E_form in kJ/mol of atoms: -6.34
Space group: No. 194

a = 3.133 Å, b = 3.133 Å, c = 14.241 Å
α = 90.00°, β = 90.00°, γ = 120.00°
Atoms (fractional coordinates):
Mg 0.333 0.667 0.091
Mg 0.333 0.667 0.409
Mg 0.667 0.333 0.591
Mg 0.667 0.333 0.909
Ga 0.333 0.667 0.750
Ga 0.667 0.333 0.250

***

Entry 5:
The following is a DFT calculation (PBEsol) of a relaxed SrCa2FeRh crystal.

Properties
E_form in kJ/mol of atoms: 160.41
Space group: No. 123

a = 5.451 Å, b = 5.451 Å, c = 4.195 Å
α = 90.00°, β = 90.00°, γ = 90.00°
Atoms (fractional coordinates):
Sr 0.000 0.000 0.000
Ca 0.000 0.500 0.000
Ca 0.500 0.000 0.000
Fe 0.000 0.000 0.500
Rh 0.500 0.500 0.500

***

Entry 6:
The following is a DFT calculation (PBEsol) of a relaxed RbBeH2 crystal.

Properties
Space group: No. 225

a = 6.269 Å, b = 6.269 Å, c = 6.269 Å
α = 90.00°, β = 90.00°, γ = 90.00°
Atoms (fractional coordinates):
Rb 0.000 0.000 0.000
Rb 0.000 0.500 0.500
Rb 0.500 0.000 0.500
Rb 0.500 0.500 0.000
Be 0.000 0.000 0.500
Be 0.000 0.500 0.000
Be 0.500 0.000 0.000
Be 0.500 0.500 0.500
H 0.250 0.250 0.250
H 0.250 0.250 0.750
H 0.250 0.750 0.250
H 0.250 0.750 0.750
H 0.750 0.250 0.250
H 0.750 0.250 0.750
H 0.750 0.750 0.250
H 0.750 0.750 0.750

***

no.,calculated total energy (eV/f.u.),ρ (Mg/m³)
1,-24.82,5.59
2,-16.71,10.90
3,-16.43,5.77
4,-6.97,3.25
5,-14.90,4.35
6,-7.74,2.60